A plane-wave DFT calculation with PBE was carried out for a relaxed structure of AcPmSn.

Output
As for the total energy: -56.04 eV per cell. Its calculated density is 7.10 g/cm³. The value obtained for the total magnetic moment is 0.281 Bohr magnetons per cell.

abc: 7.7140 7.7140 7.7140
angles: 90.00 90.00 90.00
Space group F-43m (No. 216)
Unique sites:
Ac: 0.0000 0.0000 0.0000 x4
Pm: 0.0000 0.0000 0.5000 x4
Sn: 0.2500 0.2500 0.2500 x4